{
  "formula": "KZrRe3",
  "functional": "PBE",
  "state": "optimized geometry",
  "relative_energy_kj_per_mol_atoms": 0.0,
  "spacegroup": "Pm-3m (221)",
  "crystal_system": "cubic",
  "lattice_angstrom": [[4.999, 0.000, 0.000], [0.000, 4.999, 0.000], [0.000, 0.000, 4.999]],
  "species": ["K", "Zr", "Re", "Re", "Re"],
  "fractional_positions": [[0.000, 0.000, 0.000], [0.500, 0.500, 0.500], [0.000, 0.500, 0.500], [0.500, 0.000, 0.500], [0.500, 0.500, 0.000]]
}


{
  "formula": "LiInPb2Se4",
  "functional": "PBE",
  "state": "optimized geometry",
  "spacegroup": "Imma (74)",
  "e_form_raw_mev_per_atom": -632,
  "crystal_system": "orthorhombic",
  "lattice_angstrom": [[-4.188, 4.227, 5.825], [4.188, -4.227, 5.825], [4.188, 4.227, -5.825]],
  "species": ["Li", "Li", "In", "In", "Pb", "Pb", "Pb", "Pb", "Se", "Se", "Se", "Se", "Se", "Se", "Se", "Se"],
  "fractional_positions": [[0.000, 0.000, 0.000], [0.500, 0.000, 0.500], [0.500, 0.000, 0.000], [0.500, 0.500, 0.500], [0.000, 0.000, 0.500], [0.000, 0.500, 0.000], [0.000, 0.500, 0.500], [0.500, 0.500, 0.000], [0.253, 0.237, 0.016], [0.262, 0.244, 0.482], [0.262, 0.780, 0.018], [0.279, 0.763, 0.516], [0.721, 0.237, 0.484], [0.738, 0.220, 0.982], [0.738, 0.756, 0.518], [0.747, 0.763, 0.984]]
}


{
  "formula": "Cs2YCu",
  "functional": "PBE",
  "state": "optimized geometry",
  "relative_energy_kj_per_mol_atoms": 35.4,
  "spacegroup": "Fm-3m (225)",
  "crystal_system": "cubic",
  "lattice_angstrom": [[9.235, 0.000, 0.000], [0.000, 9.235, 0.000], [0.000, 0.000, 9.235]],
  "species": ["Cs", "Cs", "Cs", "Cs", "Cs", "Cs", "Cs", "Cs", "Y", "Y", "Y", "Y", "Cu", "Cu", "Cu", "Cu"],
  "fractional_positions": [[0.250, 0.250, 0.250], [0.250, 0.250, 0.750], [0.250, 0.750, 0.250], [0.250, 0.750, 0.750], [0.750, 0.250, 0.250], [0.750, 0.250, 0.750], [0.750, 0.750, 0.250], [0.750, 0.750, 0.750], [0.000, 0.000, 0.000], [0.000, 0.500, 0.500], [0.500, 0.000, 0.500], [0.500, 0.500, 0.000], [0.000, 0.000, 0.500], [0.000, 0.500, 0.000], [0.500, 0.000, 0.000], [0.500, 0.500, 0.500]]
}


{
  "formula": "SnPdBr2",
  "functional": "PBE",
  "state": "optimized geometry",
  "relative_energy_kj_per_mol_atoms": 0.0,
  "spacegroup": "I-42d (122)",
  "e_form_raw_mev_per_atom": -100,
  "crystal_system": "tetragonal",
  "lattice_angstrom": [[5.159, 0.000, 0.000], [0.000, 5.159, 0.000], [0.000, 0.000, 17.220]],
  "species": ["Sn", "Sn", "Sn", "Sn", "Pd", "Pd", "Pd", "Pd", "Br", "Br", "Br", "Br", "Br", "Br", "Br", "Br"],
  "fractional_positions": [[0.000, 0.000, 0.000], [0.000, 0.500, 0.250], [0.500, 0.000, 0.750], [0.500, 0.500, 0.500], [0.000, 0.000, 0.500], [0.000, 0.500, 0.750], [0.500, 0.000, 0.250], [0.500, 0.500, 0.000], [0.215, 0.250, 0.625], [0.250, 0.715, 0.875], [0.250, 0.785, 0.375], [0.285, 0.250, 0.125], [0.715, 0.750, 0.125], [0.750, 0.215, 0.375], [0.750, 0.285, 0.875], [0.785, 0.750, 0.625]]
}


{
  "formula": "Rb3SrRe2O9",
  "functional": "PBE",
  "state": "optimized geometry",
  "spacegroup": "P-3m1 (164)",
  "e_form_raw_mev_per_atom": -1862,
  "crystal_system": "trigonal",
  "lattice_angstrom": [[5.928, 0.000, 0.000], [-2.964, 5.134, 0.000], [0.000, 0.000, 7.511]],
  "species": ["Rb", "Rb", "Rb", "Sr", "Re", "Re", "O", "O", "O", "O", "O", "O", "O", "O", "O"],
  "fractional_positions": [[0.000, 0.000, 0.000], [0.333, 0.667, 0.674], [0.667, 0.333, 0.326], [0.000, 0.000, 0.500], [0.333, 0.667, 0.155], [0.667, 0.333, 0.845], [0.000, 0.500, 0.000], [0.184, 0.369, 0.291], [0.184, 0.816, 0.291], [0.369, 0.184, 0.709], [0.500, 0.000, 0.000], [0.500, 0.500, 0.000], [0.631, 0.816, 0.291], [0.816, 0.184, 0.709], [0.816, 0.631, 0.709]]
}


{
  "formula": "PmTh2Sc8",
  "functional": "PBE",
  "state": "optimized geometry",
  "relative_energy_kj_per_mol_atoms": 1.8,
  "spacegroup": "C2/m (12)",
  "crystal_system": "monoclinic",
  "lattice_angstrom": [[8.823, -2.790, 0.000], [8.823, 2.790, 0.000], [-2.563, 0.000, 6.249]],
  "species": ["Pm", "Th", "Th", "Sc", "Sc", "Sc", "Sc", "Sc", "Sc", "Sc", "Sc"],
  "fractional_positions": [[0.000, 0.000, 0.000], [0.191, 0.191, 0.692], [0.809, 0.809, 0.308], [0.200, 0.200, 0.201], [0.245, 0.755, 0.500], [0.369, 0.369, 0.102], [0.369, 0.369, 0.635], [0.631, 0.631, 0.365], [0.631, 0.631, 0.898], [0.755, 0.245, 0.500], [0.800, 0.800, 0.799]]
}


{
  "formula": "Nd2Ho9Th",
  "functional": "PBE",
  "state": "optimized geometry",
  "spacegroup": "P4/mmm (123)",
  "crystal_system": "tetragonal",
  "total_energy_ha_per_atom": -0.1772,
  "lattice_angstrom": [[5.025, 0.000, 0.000], [0.000, 5.025, 0.000], [0.000, 0.000, 15.088]],
  "species": ["Nd", "Nd", "Ho", "Ho", "Ho", "Ho", "Ho", "Ho", "Ho", "Ho", "Ho", "Th"],
  "fractional_positions": [[0.000, 0.000, 0.168], [0.000, 0.000, 0.832], [0.000, 0.500, 0.000], [0.000, 0.500, 0.337], [0.000, 0.500, 0.663], [0.500, 0.000, 0.000], [0.500, 0.000, 0.337], [0.500, 0.000, 0.663], [0.500, 0.500, 0.167], [0.500, 0.500, 0.500], [0.500, 0.500, 0.833], [0.000, 0.000, 0.500]]
}


{
  "formula": "BaTl2NiTe",
  "functional": "PBE",
  "state": "optimized geometry",
  "spacegroup": "P4/mmm (123)",
  "e_form_raw_mev_per_atom": -472,
  "crystal_system": "tetragonal",
  "lattice_angstrom": [[5.117, 0.000, 0.000], [0.000, 5.117, 0.000], [0.000, 0.000, 5.975]],
  "species": ["Ba", "Tl", "Tl", "Ni", "Te"],
  "fractional_positions": [[0.000, 0.000, 0.000], [0.000, 0.500, 0.500], [0.500, 0.000, 0.500], [0.000, 0.000, 0.500], [0.500, 0.500, 0.000]]
}